First-principles (GGA-PBE) data for crystalline ZrFeCo at its relaxed geometry, as listed in Alexandria.

Density (g cm⁻³): 7.7
V (Å³ per cell): 177
Uncorrected energy (eV/atom): -8.14

The structure in CIF format:
```
data_ZrFeCo
_chemical_formula_sum 'Zr4 Fe4 Co4'
_cell_length_a 3.218
_cell_length_b 13.097
_cell_length_c 4.212
_cell_angle_alpha 90.00
_cell_angle_beta 90.00
_cell_angle_gamma 90.00
_space_group_name_H-M_alt 'C m c m'
_space_group_IT_number 63
_space_group_name_Hall '-C 2c 2'
loop_
_atom_site_label
_atom_site_fract_x
_atom_site_fract_y
_atom_site_fract_z
_atom_site_occupancy
Zr1 0.000 0.090 0.250 1
Fe1 0.000 0.241 0.750 1
Co1 0.000 0.413 0.250 1
```